The following is a DFT calculation (PBE-GGA) of Rb3Sn4Br12 after structural relaxation.

Unit cell a=9.939 b=9.939 c=9.939 alpha=109.47 beta=109.47 gamma=109.47
Sites, in units of the cell vectors:
Br: 0.942 0.226 0.717
Br: 0.509 0.226 0.283
Br: 0.058 0.774 0.283
Br: 0.283 0.509 0.226
Br: 0.226 0.283 0.509
Sn: 0.000 0.000 0.500
Br: 0.226 0.717 0.942
Br: 0.774 0.283 0.058
Br: 0.283 0.058 0.774
Rb: 0.000 0.500 0.500
Br: 0.717 0.491 0.774
Br: 0.774 0.717 0.491
Sn: 0.500 0.000 0.000
Br: 0.491 0.774 0.717
Sn: 0.500 0.500 0.500
Sn: 0.000 0.500 0.000
Rb: 0.500 0.500 0.000
Br: 0.717 0.942 0.226
Rb: 0.500 0.000 0.500

Computed properties:
**E_form (uncorrected)**: -1072 meV/atom
**SG**: Im-3, No. 204



The following is a DFT calculation (PBE-GGA) of BaFe2Pb after structural relaxation.

Unit cell a=4.790 b=3.554 c=6.456 alpha=83.66 beta=90.00 gamma=90.00
Sites, in units of the cell vectors:
Pb: 0.500 0.250 0.250
Fe: 0.000 0.022 0.126
Fe: 0.000 0.478 0.374
Ba: 0.500 0.750 0.750

Computed properties:
**Relative energy among the computed polymorphs**: 327 meV per atom
**Energy relative to the elements**: 0.557 eV/atom
**SG**: P2/m, No. 10



The following is a DFT calculation (PBE-GGA) of Sc2AlCu after structural relaxation.

Unit cell a=4.299 b=3.354 c=5.588 alpha=72.28 beta=90.00 gamma=90.00
Sites, in units of the cell vectors:
Sc: 0.000 0.968 0.936
Sc: 0.500 0.284 0.310
Al: 0.000 0.694 0.489
Cu: 0.500 0.554 0.764

Computed properties:
**Energy relative to the elements**: -0.311 eV/atom
**SG**: Pm, No. 6



The following is a DFT calculation (PBE-GGA) of LiGaSe2N after structural relaxation.

Unit cell a=5.352 b=5.352 c=3.613 alpha=90.00 beta=90.00 gamma=90.00
Sites, in units of the cell vectors:
Ga: 0.000 0.000 0.000
Se: 0.000 0.500 0.000
Li: 0.500 0.500 0.500
Se: 0.500 0.000 0.000
N: 0.000 0.000 0.500

Computed properties:
**Relative energy among the computed polymorphs**: 0 meV per atom
**E_form (uncorrected)**: 335 meV/atom
**SG**: P4/mmm, No. 123



The following is a DFT calculation (PBE-GGA) of Zr3ScRh2 after structural relaxation.

Unit cell a=6.464 b=6.599 c=7.863 alpha=114.81 beta=114.27 gamma=90.00
Sites, in units of the cell vectors:
Zr: 0.500 0.250 0.000
Zr: 0.765 0.515 0.530
Zr: 0.765 0.015 0.530
Zr: 0.235 0.985 0.470
Rh: 0.571 0.361 0.722
Zr: 0.235 0.485 0.470
Rh: 0.151 0.861 0.722
Zr: 0.500 0.750 0.000
Rh: 0.429 0.639 0.278
Sc: 0.000 0.000 0.000
Rh: 0.849 0.139 0.278
Sc: 0.000 0.500 0.000

Computed properties:
**Energy relative to the elements**: -0.388 eV/atom
**SG**: Ibam, No. 72



The following is a DFT calculation (PBE-GGA) of ZrNb3 after structural relaxation.

Unit cell a=2.739 b=5.043 c=5.668 alpha=90.00 beta=90.00 gamma=90.00
Sites, in units of the cell vectors:
Zr: 0.000 0.000 0.033
Nb: 0.500 0.000 0.534
Nb: 0.500 0.500 0.795
Nb: 0.000 0.500 0.305

Computed properties:
**Relative energy among the computed polymorphs**: 145 meV per atom
**Energy relative to the elements**: 0.194 eV/atom
**SG**: Pmm2, No. 25